Density functional theory data (PBE-GGA) for crystalline Mg3Ni2Ge3 at its relaxed geometry.

```
data_Mg3Ni2Ge3
_space_group_name_H-M_alt 'P n m a'
_space_group_IT_number 62
_cell_length_a 7.866
_cell_length_b 13.322
_cell_length_c 5.166
_cell_angle_alpha 90.00
_cell_angle_beta 90.00
_cell_angle_gamma 90.00
loop_
_space_group_symop_operation_xyz
'x,y,z'
'-x,-y,-z'
'-x+1/2,-y,z+1/2'
'x+1/2,y,-z+1/2'
'x+1/2,-y+1/2,-z+1/2'
'-x+1/2,y+1/2,z+1/2'
'-x,y+1/2,-z'
'x,-y+1/2,z'
loop_
_atom_site_label
_atom_site_fract_x
_atom_site_fract_y
_atom_site_fract_z
Mg1 0.034 0.120 0.100
Mg2 0.171 0.250 0.607
Ni1 0.075 0.593 0.405
Ge1 0.173 0.750 0.604
Ge2 0.207 0.043 0.627
```

Results
**Raw total energy**: -129.7 eV per cell
**Magnetization**: 0.000 μB per atom
**Formation energy**: -277 meV/atom